--- P ---
RbCd2Au GGA-PBE relaxed; mass density = 6.30 g/cm³; symmetry = No. 160
1.0
2.456 1.418 6.397
-2.456 1.418 6.397
0.000 -2.836 6.397
Rb Cd Au
1 2 1
Direct
0.000 0.000 0.000
0.190 0.190 0.190
0.475 0.475 0.475
0.815 0.815 0.815

---

--- Q ---
RbCd2Au GGA-PBE relaxed; mass density = 7.34 g/cm³; symmetry = No. 123
1.0
3.673 0.000 0.000
0.000 3.673 0.000
0.000 0.000 8.512
Rb Cd Au
1 2 1
Direct
0.000 0.000 0.000
0.500 0.500 0.319
0.500 0.500 0.681
0.000 0.000 0.500

---

--- R ---
RbCd2Au GGA-PBE relaxed; mass density = 6.36 g/cm³; symmetry = No. 166
1.0
2.439 1.408 6.427
-2.439 1.408 6.427
0.000 -2.816 6.427
Rb Cd Au
1 2 1
Direct
0.000 0.000 0.000
0.196 0.196 0.196
0.804 0.804 0.804
0.500 0.500 0.500

---

--- S ---
RbCd2Au GGA-PBE relaxed; mass density = 7.36 g/cm³; symmetry = No. 225
1.0
0.000 3.854 3.854
3.854 0.000 3.854
3.854 3.854 0.000
Rb Cd Au
1 2 1
Direct
0.000 0.000 0.000
0.250 0.250 0.250
0.750 0.750 0.750
0.500 0.500 0.500

---

Energies relative to the most stable structure, in meV/atom: P 0; Q 155; R 5; S 251.

---

--- P ---
Rb2Cd3Au4 GGA-PBE relaxed; mass density = 7.14 g/cm³; symmetry = No. 70
1.0
0.000 5.307 17.305
3.283 0.000 17.305
3.283 5.307 0.000
Rb Cd Au
4 6 8
Direct
0.038 0.038 0.212
0.212 0.212 0.038
0.788 0.788 0.962
0.962 0.962 0.788
0.140 0.140 0.610
0.375 0.375 0.375
0.390 0.390 0.860
0.610 0.610 0.140
0.625 0.625 0.625
0.860 0.860 0.390
0.182 0.689 0.219
0.219 0.410 0.182
0.311 0.818 0.590
0.410 0.219 0.689
0.590 0.781 0.311
0.689 0.182 0.410
0.781 0.590 0.818
0.818 0.311 0.781

---

--- Q ---
Rb2Cd3Au4 GGA-PBE relaxed; mass density = 9.11 g/cm³; symmetry = No. 64
1.0
3.305 -8.609 0.000
3.305 8.609 0.000
0.000 0.000 8.305
Rb Cd Au
4 6 8
Direct
0.103 0.897 0.909
0.397 0.603 0.409
0.603 0.397 0.591
0.897 0.103 0.091
0.000 0.000 0.500
0.019 0.481 0.750
0.481 0.019 0.250
0.500 0.500 0.000
0.519 0.981 0.750
0.981 0.519 0.250
0.180 0.820 0.515
0.186 0.314 0.750
0.314 0.186 0.250
0.320 0.680 0.015
0.680 0.320 0.985
0.686 0.814 0.750
0.814 0.686 0.250
0.820 0.180 0.485

---

Energies relative to the most stable structure, in meV/atom: P 108; Q 0.

---

--- P ---
Rb3CdAu GGA-PBE relaxed; mass density = 3.18 g/cm³; symmetry = No. 221
1.0
6.661 0.000 0.000
0.000 6.661 0.000
0.000 0.000 6.661
Rb Cd Au
3 1 1
Direct
0.000 0.000 0.500
0.000 0.500 0.000
0.500 0.000 0.000
0.500 0.500 0.500
0.000 0.000 0.000

---

--- Q ---
Rb3CdAu GGA-PBE relaxed; mass density = 3.72 g/cm³; symmetry = No. 11
1.0
4.974 0.000 0.000
0.000 11.557 0.000
-0.019 0.000 8.784
Rb Cd Au
6 2 2
Direct
0.245 0.250 0.442
0.254 0.541 0.188
0.254 0.959 0.188
0.746 0.041 0.812
0.746 0.459 0.812
0.755 0.750 0.558
0.246 0.250 0.980
0.754 0.750 0.020
0.253 0.750 0.868
0.747 0.250 0.132

---

Energies relative to the most stable structure, in meV/atom: P 101; Q 0.

---

--- P ---
RbCd3Au GGA-PBE relaxed; mass density = 7.01 g/cm³; symmetry = No. 63
1.0
3.653 -5.951 0.000
3.653 5.951 0.000
0.000 0.000 6.751
Rb Cd Au
2 6 2
Direct
0.234 0.766 0.750
0.766 0.234 0.250
0.111 0.889 0.250
0.289 0.289 0.000
0.289 0.289 0.500
0.711 0.711 0.000
0.711 0.711 0.500
0.889 0.111 0.750
0.349 0.651 0.250
0.651 0.349 0.750

---

--- Q ---
RbCd3Au GGA-PBE relaxed; mass density = 6.44 g/cm³; symmetry = No. 221
1.0
5.426 0.000 0.000
0.000 5.426 0.000
0.000 0.000 5.426
Rb Cd Au
1 3 1
Direct
0.000 0.000 0.000
0.000 0.500 0.500
0.500 0.000 0.500
0.500 0.500 0.000
0.500 0.500 0.500

---

--- R ---
RbCd3Au GGA-PBE relaxed; mass density = 7.09 g/cm³; symmetry = No. 194
1.0
7.286 0.000 0.000
-3.643 6.310 0.000
0.000 0.000 6.318
Rb Cd Au
2 6 2
Direct
0.333 0.667 0.250
0.667 0.333 0.750
0.190 0.381 0.750
0.190 0.810 0.750
0.381 0.190 0.250
0.619 0.810 0.750
0.810 0.190 0.250
0.810 0.619 0.250
0.000 0.000 0.000
0.000 0.000 0.500

---

Energies relative to the most stable structure, in meV/atom: P 0; Q 41; R 87.

---

--- P ---
Rb4Cd2Au GGA-PBE relaxed; mass density = 3.89 g/cm³; symmetry = No. 2
1.0
8.247 0.000 0.000
4.018 7.716 0.000
4.106 1.941 10.240
Rb Cd Au
8 4 2
Direct
0.001 0.263 0.145
0.002 0.242 0.757
0.365 0.254 0.365
0.496 0.704 0.303
0.504 0.296 0.697
0.635 0.746 0.635
0.998 0.758 0.243
0.999 0.737 0.855
0.000 0.000 0.500
0.419 0.890 0.965
0.500 0.500 0.000
0.581 0.110 0.035
0.128 0.617 0.552
0.872 0.383 0.448

---

--- Q ---
Rb4Cd2Au GGA-PBE relaxed; mass density = 3.08 g/cm³; symmetry = No. 139
1.0
-3.438 3.438 8.701
3.438 -3.438 8.701
3.438 3.438 -8.701
Rb Cd Au
4 2 1
Direct
0.000 0.500 0.500
0.195 0.195 0.000
0.500 0.000 0.500
0.805 0.805 0.000
0.411 0.411 0.000
0.589 0.589 0.000
0.000 0.000 0.000

---

Energies relative to the most stable structure, in meV/atom: P 0; Q 87.

---

--- P ---
Rb3Cd2Au2 GGA-PBE relaxed; mass density = 5.63 g/cm³; symmetry = No. 57
1.0
6.973 0.000 0.000
0.000 9.460 0.000
0.000 0.000 15.653
Rb Cd Au
12 8 8
Direct
0.112 0.135 0.109
0.112 0.135 0.391
0.112 0.365 0.609
0.112 0.365 0.891
0.347 0.721 0.750
0.347 0.779 0.250
0.653 0.221 0.750
0.653 0.279 0.250
0.888 0.635 0.109
0.888 0.635 0.391
0.888 0.865 0.609
0.888 0.865 0.891
0.382 0.016 0.586
0.382 0.016 0.914
0.382 0.484 0.086
0.382 0.484 0.414
0.618 0.516 0.586
0.618 0.516 0.914
0.618 0.984 0.086
0.618 0.984 0.414
0.192 0.069 0.750
0.192 0.431 0.250
0.429 0.750 0.000
0.429 0.750 0.500
0.571 0.250 0.000
0.571 0.250 0.500
0.808 0.569 0.750
0.808 0.931 0.250

---

--- Q ---
Rb3Cd2Au2 GGA-PBE relaxed; mass density = 5.24 g/cm³; symmetry = No. 71
1.0
-2.454 2.594 10.885
2.454 -2.594 10.885
2.454 2.594 -10.885
Rb Cd Au
3 2 2
Direct
0.000 0.000 0.000
0.181 0.681 0.500
0.819 0.319 0.500
0.371 0.871 0.500
0.629 0.129 0.500
0.435 0.435 0.000
0.565 0.565 0.000

---

Energies relative to the most stable structure, in meV/atom: P 0; Q 27.

---

--- P ---
Rb2CdAu3 GGA-PBE relaxed; mass density = 7.91 g/cm³; symmetry = No. 51
1.0
5.640 0.000 0.000
0.000 7.059 0.000
0.000 0.000 9.222
Rb Cd Au
4 2 6
Direct
0.250 0.000 0.127
0.250 0.500 0.366
0.750 0.000 0.873
0.750 0.500 0.634
0.250 0.500 0.917
0.750 0.500 0.083
0.000 0.000 0.500
0.250 0.206 0.720
0.250 0.794 0.720
0.500 0.000 0.500
0.750 0.206 0.280
0.750 0.794 0.280

---

--- Q ---
Rb2CdAu3 GGA-PBE relaxed; mass density = 7.32 g/cm³; symmetry = No. 69
1.0
0.000 4.920 8.353
4.829 0.000 8.353
4.829 4.920 0.000
Rb Cd Au
4 2 6
Direct
0.243 0.757 0.243
0.250 0.250 0.250
0.750 0.750 0.750
0.757 0.243 0.757
0.334 0.334 0.666
0.666 0.666 0.334
0.166 0.667 0.834
0.167 0.167 0.833
0.333 0.834 0.667
0.667 0.166 0.333
0.833 0.833 0.167
0.834 0.333 0.166

---

Energies relative to the most stable structure, in meV/atom: P 0; Q 6.

---

--- P ---
Rb2Cd2Au GGA-PBE relaxed; mass density = 5.62 g/cm³; symmetry = No. 127
1.0
7.608 0.000 0.000
0.000 7.608 0.000
0.000 0.000 6.051
Rb Cd Au
4 4 2
Direct
0.183 0.317 0.000
0.317 0.817 0.000
0.683 0.183 0.000
0.817 0.683 0.000
0.140 0.640 0.500
0.360 0.140 0.500
0.640 0.860 0.500
0.860 0.360 0.500
0.000 0.000 0.500
0.500 0.500 0.500

---

--- Q ---
Rb2Cd2Au GGA-PBE relaxed; mass density = 5.27 g/cm³; symmetry = No. 15
1.0
6.053 -4.021 0.000
6.053 4.021 0.000
-2.676 0.000 7.676
Rb Cd Au
4 4 2
Direct
0.115 0.241 0.146
0.241 0.115 0.646
0.759 0.885 0.354
0.885 0.759 0.854
0.295 0.575 0.558
0.425 0.705 0.942
0.575 0.295 0.058
0.705 0.425 0.442
0.318 0.682 0.250
0.682 0.318 0.750

---

--- R ---
Rb2Cd2Au GGA-PBE relaxed; mass density = 4.39 g/cm³; symmetry = No. 141
1.0
-2.549 2.549 17.271
2.549 -2.549 17.271
2.549 2.549 -17.271
Rb Cd Au
4 4 2
Direct
0.052 0.302 0.750
0.302 0.052 0.250
0.698 0.948 0.750
0.948 0.698 0.250
0.160 0.410 0.750
0.410 0.160 0.250
0.590 0.840 0.750
0.840 0.590 0.250
0.375 0.625 0.750
0.625 0.375 0.250

---

Energies relative to the most stable structure, in meV/atom: P 65; Q 0; R 33.